(1)
Material: Eu2RuCl
Method: DFT, PBE
State: optimized geometry

Summary:
- calculated total energy (eV per atom) = -8.652
- ΔE_f (raw) (eV per atom) = -0.73
- calculated volume (Å³/atom) = 23.8

Geometry as CIF:
```
data_Eu2RuCl
_cell_length_a 3.476
_cell_length_b 3.476
_cell_length_c 7.869
_cell_angle_alpha 90.00
_cell_angle_beta 90.00
_cell_angle_gamma 90.00
_space_group_name_H-M_alt 'P 4/m m m'
_space_group_IT_number 123
_space_group_name_Hall '-P 4 2'
loop_
_atom_site_label
_atom_site_type_symbol
_atom_site_fract_x
_atom_site_fract_y
_atom_site_fract_z
_atom_site_occupancy
Eu1 Eu 0.000 0.000 0.223 1
Ru1 Ru 0.500 0.500 0.000 1
Cl1 Cl 0.500 0.500 0.500 1
```

=====

(2)
Material: Eu2SCl
Method: DFT, PBE
State: optimized geometry

Summary:
- calculated total energy (eV per atom) = -8.547
- ΔE_f (raw) (eV per atom) = -1.92
- calculated volume (Å³/atom) = 25.7

Geometry as CIF:
```
data_Eu2SCl
_cell_length_a 4.1601
_cell_length_b 4.1601
_cell_length_c 20.5470
_cell_angle_alpha 90.00
_cell_angle_beta 90.00
_cell_angle_gamma 120.00
_space_group_name_H-M_alt 'R -3 m'
_space_group_IT_number 166
_space_group_name_Hall '-R 3 2"'
loop_
_atom_site_label
_atom_site_type_symbol
_atom_site_fract_x
_atom_site_fract_y
_atom_site_fract_z
_atom_site_occupancy
Eu1 Eu 0.0000 0.0000 0.2427 1
S1 S 0.0000 0.0000 0.5000 1
Cl1 Cl 0.0000 0.0000 0.0000 1
```

=====

(3)
Material: Eu2SbCl
Method: DFT, PBE
State: optimized geometry

Summary:
- calculated total energy (eV per atom) = -7.947
- ΔE_f (raw) (eV per atom) = -1.32
- calculated volume (Å³/atom) = 29.3

Geometry as CIF:
```
data_Eu2SbCl
_cell_length_a 5.564
_cell_length_b 5.564
_cell_length_c 3.781
_cell_angle_alpha 90.00
_cell_angle_beta 90.00
_cell_angle_gamma 90.00
_space_group_name_H-M_alt 'P 4/m m m'
_space_group_IT_number 123
_space_group_name_Hall '-P 4 2'
loop_
_atom_site_label
_atom_site_type_symbol
_atom_site_fract_x
_atom_site_fract_y
_atom_site_fract_z
_atom_site_occupancy
Eu1 Eu 0.000 0.500 0.000 1
Sb1 Sb 0.000 0.000 0.500 1
Cl1 Cl 0.500 0.500 0.500 1
```

=====

(4)
Material: Eu2SbCl
Method: DFT, PBE
State: optimized geometry

Summary:
- calculated total energy (eV per atom) = -8.014
- ΔE_f (raw) (eV per atom) = -1.38
- calculated volume (Å³/atom) = 29.6

Geometry as CIF:
```
data_Eu2SbCl
_cell_length_a 7.793
_cell_length_b 7.793
_cell_length_c 7.793
_cell_angle_alpha 90.00
_cell_angle_beta 90.00
_cell_angle_gamma 90.00
_space_group_name_H-M_alt 'F m -3 m'
_space_group_IT_number 225
_space_group_name_Hall '-F 4 2 3'
loop_
_atom_site_label
_atom_site_type_symbol
_atom_site_fract_x
_atom_site_fract_y
_atom_site_fract_z
_atom_site_occupancy
Eu1 Eu 0.250 0.250 0.250 1
Sb1 Sb 0.000 0.000 0.000 1
Cl1 Cl 0.000 0.000 0.500 1
```

=====

(5)
Material: SrEuSbCl
Method: DFT, PBE
State: optimized geometry

Summary:
- calculated total energy (eV per atom) = -5.896
- ΔE_f (raw) (eV per atom) = -1.41
- calculated volume (Å³/atom) = 30.7

Geometry as CIF:
```
data_SrEuSbCl
_cell_length_a 7.892
_cell_length_b 7.892
_cell_length_c 7.892
_cell_angle_alpha 90.00
_cell_angle_beta 90.00
_cell_angle_gamma 90.00
_space_group_name_H-M_alt 'F -4 3 m'
_space_group_IT_number 216
_space_group_name_Hall 'F -4 2 3'
loop_
_atom_site_label
_atom_site_type_symbol
_atom_site_fract_x
_atom_site_fract_y
_atom_site_fract_z
_atom_site_occupancy
Sr1 Sr 0.000 0.000 0.000 1
Eu1 Eu 0.000 0.000 0.500 1
Sb1 Sb 0.250 0.250 0.250 1
Cl1 Cl 0.250 0.250 0.750 1
```

=====

(6)
Material: Eu3Sn5Cl12
Method: DFT, PBE
State: optimized geometry

Summary:
- calculated total energy (eV per atom) = -4.751
- ΔE_f (raw) (eV per atom) = -1.10
- calculated volume (Å³/atom) = 34.8

Geometry as CIF:
```
data_Eu3Sn5Cl12
_cell_length_a 17.732
_cell_length_b 17.732
_cell_length_c 17.732
_cell_angle_alpha 90.00
_cell_angle_beta 90.00
_cell_angle_gamma 90.00
_space_group_name_H-M_alt 'I a -3 d'
_space_group_IT_number 230
_space_group_name_Hall '-I 4bd 2c 3'
loop_
_atom_site_label
_atom_site_type_symbol
_atom_site_fract_x
_atom_site_fract_y
_atom_site_fract_z
_atom_site_occupancy
Eu1 Eu 0.000 0.250 0.125 1
Sn1 Sn 0.000 0.000 0.000 1
Sn2 Sn 0.000 0.250 0.375 1
Cl1 Cl 0.001 0.054 0.157 1
```

=====

(7)
Material: Eu2SnCl
Method: DFT, PBE
State: optimized geometry

Summary:
- calculated total energy (eV per atom) = -7.726
- ΔE_f (raw) (eV per atom) = -1.13
- calculated volume (Å³/atom) = 28.5
- energy above the most stable polymorph in this dataset (meV/atom) = 24

Geometry as CIF:
```
data_Eu2SnCl
_cell_length_a 3.669
_cell_length_b 3.669
_cell_length_c 8.466
_cell_angle_alpha 90.00
_cell_angle_beta 90.00
_cell_angle_gamma 90.00
_space_group_name_H-M_alt 'P 4/m m m'
_space_group_IT_number 123
_space_group_name_Hall '-P 4 2'
loop_
_atom_site_label
_atom_site_type_symbol
_atom_site_fract_x
_atom_site_fract_y
_atom_site_fract_z
_atom_site_occupancy
Eu1 Eu 0.000 0.000 0.250 1
Sn1 Sn 0.500 0.500 0.000 1
Cl1 Cl 0.500 0.500 0.500 1
```

=====

(8)
Material: Eu4Sn2Cl
Method: DFT, PBE
State: optimized geometry

Summary:
- calculated total energy (eV per atom) = -8.117
- ΔE_f (raw) (eV per atom) = -0.84
- calculated volume (Å³/atom) = 34.8

Geometry as CIF:
```
data_Eu4Sn2Cl
_cell_length_a 5.380
_cell_length_b 5.380
_cell_length_c 16.834
_cell_angle_alpha 90.00
_cell_angle_beta 90.00
_cell_angle_gamma 90.00
_space_group_name_H-M_alt 'I 4/m m m'
_space_group_IT_number 139
_space_group_name_Hall '-I 4 2'
loop_
_atom_site_label
_atom_site_type_symbol
_atom_site_fract_x
_atom_site_fract_y
_atom_site_fract_z
_atom_site_occupancy
Eu1 Eu 0.000 0.000 0.183 1
Eu2 Eu 0.000 0.500 0.000 1
Sn1 Sn 0.000 0.000 0.376 1
Cl1 Cl 0.000 0.000 0.000 1
```

=====

(9)
Material: Eu2SnCl
Method: DFT, PBE
State: optimized geometry

Summary:
- calculated total energy (eV per atom) = -7.750
- ΔE_f (raw) (eV per atom) = -1.15
- calculated volume (Å³/atom) = 31.1
- energy above the most stable polymorph in this dataset (meV/atom) = 0

Geometry as CIF:
```
data_Eu2SnCl
_cell_length_a 4.3114
_cell_length_b 4.3114
_cell_length_c 23.1833
_cell_angle_alpha 90.00
_cell_angle_beta 90.00
_cell_angle_gamma 120.00
_space_group_name_H-M_alt 'R -3 m'
_space_group_IT_number 166
_space_group_name_Hall '-R 3 2"'
loop_
_atom_site_label
_atom_site_type_symbol
_atom_site_fract_x
_atom_site_fract_y
_atom_site_fract_z
_atom_site_occupancy
Eu1 Eu 0.0000 0.0000 0.2448 1
Sn1 Sn 0.0000 0.0000 0.0000 1
Cl1 Cl 0.0000 0.0000 0.5000 1
```

=====

(10)
Material: SrEuCl2
Method: DFT, PBE
State: optimized geometry

Summary:
- calculated total energy (eV per atom) = -5.578
- ΔE_f (raw) (eV per atom) = -1.67
- calculated volume (Å³/atom) = 39.0

Geometry as CIF:
```
data_SrEuCl2
_cell_length_a 4.6597
_cell_length_b 4.6597
_cell_length_c 24.8830
_cell_angle_alpha 90.00
_cell_angle_beta 90.00
_cell_angle_gamma 120.00
_space_group_name_H-M_alt 'R -3 m'
_space_group_IT_number 166
_space_group_name_Hall '-R 3 2"'
loop_
_atom_site_label
_atom_site_type_symbol
_atom_site_fract_x
_atom_site_fract_y
_atom_site_fract_z
_atom_site_occupancy
Sr1 Sr 0.0000 0.0000 0.0000 1
Eu1 Eu 0.0000 0.0000 0.5000 1
Cl1 Cl 0.0000 0.0000 0.1189 1
```

=====

(11)
Material: SrEuCl
Method: DFT, PBE
State: optimized geometry

Summary:
- calculated total energy (eV per atom) = -5.689
- ΔE_f (raw) (eV per atom) = -1.09
- calculated volume (Å³/atom) = 36.1

Geometry as CIF:
```
data_SrEuCl
_cell_length_a 4.1102
_cell_length_b 4.1102
_cell_length_c 7.3939
_cell_angle_alpha 90.00
_cell_angle_beta 90.00
_cell_angle_gamma 120.00
_space_group_name_H-M_alt 'P 3 m 1'
_space_group_IT_number 156
loop_
_space_group_symop_operation_xyz
'x,y,z'
'-y,x-y,z'
'-x+y,-x,z'
'-y,-x,z'
'-x+y,y,z'
'x,x-y,z'
loop_
_atom_site_label
_atom_site_type_symbol
_atom_site_fract_x
_atom_site_fract_y
_atom_site_fract_z
_atom_site_occupancy
Sr1 Sr 0.0000 0.0000 0.0000 1
Eu1 Eu 0.6667 0.3333 0.5642 1
Cl1 Cl 0.3333 0.6667 0.2869 1
```

=====

(12)
Material: Sr5Eu3Cl12
Method: DFT, PBE
State: optimized geometry

Summary:
- calculated total energy (eV per atom) = -5.058
- ΔE_f (raw) (eV per atom) = -1.99
- calculated volume (Å³/atom) = 36.6

Geometry as CIF:
```
data_Sr5Eu3Cl12
_cell_length_a 18.022
_cell_length_b 18.022
_cell_length_c 18.022
_cell_angle_alpha 90.00
_cell_angle_beta 90.00
_cell_angle_gamma 90.00
_space_group_name_H-M_alt 'I a -3 d'
_space_group_IT_number 230
_space_group_name_Hall '-I 4bd 2c 3'
loop_
_atom_site_label
_atom_site_type_symbol
_atom_site_fract_x
_atom_site_fract_y
_atom_site_fract_z
_atom_site_occupancy
Sr1 Sr 0.000 0.000 0.000 1
Sr2 Sr 0.000 0.250 0.375 1
Eu1 Eu 0.000 0.250 0.125 1
Cl1 Cl 0.000 0.043 0.159 1
```

=====

- Among the records above, which one has the lowest calculated total energy?
  Eu2RuCl

=====

- What is the formula in the eleventh record?
  SrEuCl

=====

- What is the ΔE_f (raw) in the sixth record?
  -1.10 eV per atom